Entry 1:
# BaTl5 (SCAN, single point on PBEsol structure)
data_BaTl5
_chemical_formula_sum 'Ba1 Tl5'
_cell_length_a 4.126
_cell_length_b 4.126
_cell_length_c 10.717
_cell_angle_alpha 90.00
_cell_angle_beta 90.00
_cell_angle_gamma 90.00
_symmetry_space_group_name_H-M 'P 1'
_symmetry_Int_Tables_number 1
loop_
_symmetry_equiv_pos_as_xyz
'x,y,z'
loop_
_atom_site_label
_atom_site_type_symbol
_atom_site_fract_x
_atom_site_fract_y
_atom_site_fract_z
Ba1 Ba 0.000 0.000 0.000
Tl1 Tl 0.000 0.000 0.346
Tl2 Tl 0.000 0.000 0.654
Tl3 Tl 0.500 0.500 0.200
Tl4 Tl 0.500 0.500 0.500
Tl5 Tl 0.500 0.500 0.800
# DOS(E_F)   3.265 states/eV/cell
# Offset from the most stable computed form   52 meV/atom
# Raw total energy   -402.53 eV/cell
# Symmetry   No. 123
# DFT formation energy   -4.573 kcal/mol of atoms
# Size of the total moment   0.00 μB per formula unit

***

Entry 2:
# Tl2InW (SCAN, single point on PBEsol structure)
data_Tl2InW
_chemical_formula_sum 'Tl2 In1 W1'
_cell_length_a 3.055
_cell_length_b 4.960
_cell_length_c 5.845
_cell_angle_alpha 90.00
_cell_angle_beta 104.89
_cell_angle_gamma 90.00
_symmetry_space_group_name_H-M 'P 1'
_symmetry_Int_Tables_number 1
loop_
_symmetry_equiv_pos_as_xyz
'x,y,z'
loop_
_atom_site_label
_atom_site_type_symbol
_atom_site_fract_x
_atom_site_fract_y
_atom_site_fract_z
Tl1 Tl 0.000 0.000 0.000
Tl2 Tl 0.403 0.500 0.806
In1 In 0.730 0.000 0.462
W1 W 0.152 0.500 0.297
# DOS(E_F)   2.285 states/eV/cell
# Offset from the most stable computed form   150 meV/atom
# Raw total energy   -244.56 eV/cell
# Symmetry   No. 6
# DFT formation energy   18.655 kcal/mol of atoms
# Size of the total moment   0.00 μB per formula unit

***

Entry 3:
# InAu2Se (SCAN, single point on PBEsol structure)
data_InAu2Se
_chemical_formula_sum 'In1 Au2 Se1'
_cell_length_a 5.217
_cell_length_b 5.217
_cell_length_c 5.217
_cell_angle_alpha 132.20
_cell_angle_beta 132.20
_cell_angle_gamma 69.91
_symmetry_space_group_name_H-M 'P 1'
_symmetry_Int_Tables_number 1
loop_
_symmetry_equiv_pos_as_xyz
'x,y,z'
loop_
_atom_site_label
_atom_site_type_symbol
_atom_site_fract_x
_atom_site_fract_y
_atom_site_fract_z
In1 In 0.000 0.000 0.000
Au1 Au 0.250 0.750 0.500
Au2 Au 0.500 0.500 0.000
Se1 Se 0.750 0.250 0.500
# DOS(E_F)   1.479 states/eV/cell
# Offset from the most stable computed form   232 meV/atom
# Raw total energy   -191.14 eV/cell
# Symmetry   No. 119
# Formation energy without anion corrections   159 meV per atom
# Size of the total moment   0.00 μB per formula unit

***

Entry 4:
# SiAsN2O (SCAN, single point on PBEsol structure)
data_SiAsN2O
_chemical_formula_sum 'Si1 As1 N2 O1'
_cell_length_a 3.648
_cell_length_b 3.648
_cell_length_c 3.488
_cell_angle_alpha 90.00
_cell_angle_beta 90.00
_cell_angle_gamma 90.00
_symmetry_space_group_name_H-M 'P 1'
_symmetry_Int_Tables_number 1
loop_
_symmetry_equiv_pos_as_xyz
'x,y,z'
loop_
_atom_site_label
_atom_site_type_symbol
_atom_site_fract_x
_atom_site_fract_y
_atom_site_fract_z
Si1 Si 0.000 0.000 0.000
As1 As 0.500 0.500 0.500
N1 N 0.000 0.500 0.000
N2 N 0.500 0.000 0.000
O1 O 0.000 0.000 0.500
# DOS(E_F)   2.488 states/eV/cell
# Raw total energy   -55.21 eV/cell
# Symmetry   No. 123
# Formation energy without anion corrections   -38 meV per atom
# Size of the total moment   0.00 μB per formula unit

***

Entry 5:
# TcSb2As (SCAN, single point on PBEsol structure)
data_TcSb2As
_chemical_formula_sum 'Tc1 Sb2 As1'
_cell_length_a 3.174
_cell_length_b 3.174
_cell_length_c 7.984
_cell_angle_alpha 90.00
_cell_angle_beta 90.00
_cell_angle_gamma 90.00
_symmetry_space_group_name_H-M 'P 1'
_symmetry_Int_Tables_number 1
loop_
_symmetry_equiv_pos_as_xyz
'x,y,z'
loop_
_atom_site_label
_atom_site_type_symbol
_atom_site_fract_x
_atom_site_fract_y
_atom_site_fract_z
Tc1 Tc 0.000 0.000 0.000
Sb1 Sb 0.000 0.000 0.434
Sb2 Sb 0.500 0.500 0.780
As1 As 0.500 0.500 0.162
# DOS(E_F)   1.597 states/eV/cell
# Offset from the most stable computed form   0 meV/atom
# Raw total energy   -129.48 eV/cell
# Symmetry   No. 99
# Formation energy without anion corrections   72 meV per atom
# Size of the total moment   0.00 μB per formula unit

***

Entry 6:
# Li6MnO3F3 (SCAN, single point on PBEsol structure)
data_Li6MnO3F3
_chemical_formula_sum 'Li12 Mn2 O6 F6'
_cell_length_a 5.019
_cell_length_b 5.042
_cell_length_c 10.229
_cell_angle_alpha 101.13
_cell_angle_beta 97.30
_cell_angle_gamma 101.68
_symmetry_space_group_name_H-M 'P 1'
_symmetry_Int_Tables_number 1
loop_
_symmetry_equiv_pos_as_xyz
'x,y,z'
loop_
_atom_site_label
_atom_site_type_symbol
_atom_site_fract_x
_atom_site_fract_y
_atom_site_fract_z
Li1 Li 0.000 0.000 0.000
Li2 Li 0.007 0.014 0.511
Li3 Li 0.082 0.323 0.800
Li4 Li 0.168 0.290 0.331
Li5 Li 0.276 0.503 0.597
Li6 Li 0.346 0.483 0.129
Li7 Li 0.444 0.818 0.414
Li8 Li 0.464 0.842 0.919
Li9 Li 0.604 0.150 0.672
Li10 Li 0.630 0.102 0.167
Li11 Li 0.795 0.712 0.748
Li12 Li 0.819 0.661 0.241
Mn1 Mn 0.684 0.391 0.961
Mn2 Mn 0.696 0.392 0.463
O1 O 0.373 0.181 0.492
O2 O 0.389 0.177 0.007
O3 O 0.522 0.464 0.306
O4 O 0.653 0.725 0.069
O5 O 0.770 0.087 0.851
O6 O 0.913 0.362 0.621
F1 F 0.020 0.636 0.908
F2 F 0.063 0.629 0.432
F3 F 0.451 0.491 0.774
F4 F 0.628 0.786 0.581
F5 F 0.823 0.029 0.339
F6 F 0.978 0.346 0.155
# DOS(E_F)   0.000 states/eV/cell
# Raw total energy   -189.34 eV/cell
# Symmetry   No. 1
# Formation energy without anion corrections   -2520 meV per atom
# Size of the total moment   4.00 μB per formula unit

***

Entry 7:
# LiMgCl2 (SCAN, single point on PBEsol structure)
data_LiMgCl2
_chemical_formula_sum 'Li1 Mg1 Cl2'
_cell_length_a 3.383
_cell_length_b 3.383
_cell_length_c 7.410
_cell_angle_alpha 90.00
_cell_angle_beta 90.00
_cell_angle_gamma 90.00
_symmetry_space_group_name_H-M 'P 1'
_symmetry_Int_Tables_number 1
loop_
_symmetry_equiv_pos_as_xyz
'x,y,z'
loop_
_atom_site_label
_atom_site_type_symbol
_atom_site_fract_x
_atom_site_fract_y
_atom_site_fract_z
Li1 Li 0.000 0.000 0.000
Mg1 Mg 0.500 0.500 0.465
Cl1 Cl 0.000 0.000 0.663
Cl2 Cl 0.500 0.500 0.058
# DOS(E_F)   0.953 states/eV/cell
# Offset from the most stable computed form   0 meV/atom
# Raw total energy   -28.69 eV/cell
# Symmetry   No. 99
# Formation energy without anion corrections   -1343 meV per atom
# Size of the total moment   0.00 μB per formula unit

***

Entry 8:
# Ba2CoPF (SCAN, single point on PBEsol structure)
data_Ba2CoPF
_chemical_formula_sum 'Ba2 Co1 P1 F1'
_cell_length_a 6.119
_cell_length_b 6.119
_cell_length_c 4.117
_cell_angle_alpha 90.00
_cell_angle_beta 90.00
_cell_angle_gamma 90.00
_symmetry_space_group_name_H-M 'P 1'
_symmetry_Int_Tables_number 1
loop_
_symmetry_equiv_pos_as_xyz
'x,y,z'
loop_
_atom_site_label
_atom_site_type_symbol
_atom_site_fract_x
_atom_site_fract_y
_atom_site_fract_z
Ba1 Ba 0.000 0.500 0.000
Ba2 Ba 0.500 0.000 0.000
Co1 Co 0.000 0.000 0.500
P1 P 0.500 0.500 0.000
F1 F 0.500 0.500 0.500
# DOS(E_F)   3.714 states/eV/cell
# Raw total energy   -112.17 eV/cell
# Symmetry   No. 123
# Formation energy without anion corrections   -365 meV per atom
# Size of the total moment   2.11 μB per formula unit

***

Entry 9:
# MnZnSi2 (SCAN, single point on PBEsol structure)
data_MnZnSi2
_chemical_formula_sum 'Mn1 Zn1 Si2'
_cell_length_a 4.453
_cell_length_b 4.453
_cell_length_c 4.453
_cell_angle_alpha 134.08
_cell_angle_beta 128.35
_cell_angle_gamma 71.56
_symmetry_space_group_name_H-M 'P 1'
_symmetry_Int_Tables_number 1
loop_
_symmetry_equiv_pos_as_xyz
'x,y,z'
loop_
_atom_site_label
_atom_site_type_symbol
_atom_site_fract_x
_atom_site_fract_y
_atom_site_fract_z
Mn1 Mn 0.000 0.000 0.000
Zn1 Zn 0.500 0.500 0.000
Si1 Si 0.249 0.749 0.500
Si2 Si 0.751 0.251 0.500
# DOS(E_F)   1.575 states/eV/cell
# Raw total energy   -51.32 eV/cell
# Symmetry   No. 71
# Formation energy without anion corrections   121 meV per atom
# Size of the total moment   2.46 μB per formula unit

***

Entry 10:
# MnCuP2I (SCAN, single point on PBEsol structure)
data_MnCuP2I
_chemical_formula_sum 'Mn1 Cu1 P2 I1'
_cell_length_a 4.296
_cell_length_b 4.296
_cell_length_c 6.017
_cell_angle_alpha 90.00
_cell_angle_beta 90.00
_cell_angle_gamma 90.00
_symmetry_space_group_name_H-M 'P 1'
_symmetry_Int_Tables_number 1
loop_
_symmetry_equiv_pos_as_xyz
'x,y,z'
loop_
_atom_site_label
_atom_site_type_symbol
_atom_site_fract_x
_atom_site_fract_y
_atom_site_fract_z
Mn1 Mn 0.000 0.000 0.000
Cu1 Cu 0.500 0.500 0.500
P1 P 0.000 0.500 0.500
P2 P 0.500 0.000 0.500
I1 I 0.500 0.500 0.000
# DOS(E_F)   2.547 states/eV/cell
# Raw total energy   -87.50 eV/cell
# Symmetry   No. 123
# Formation energy without anion corrections   698 meV per atom
# Size of the total moment   4.08 μB per formula unit

***

Entry 11:
# Zr3TiHg (SCAN, single point on PBEsol structure)
data_Zr3TiHg
_chemical_formula_sum 'Zr3 Ti1 Hg1'
_cell_length_a 4.849
_cell_length_b 4.849
_cell_length_c 4.849
_cell_angle_alpha 90.00
_cell_angle_beta 90.00
_cell_angle_gamma 90.00
_symmetry_space_group_name_H-M 'P 1'
_symmetry_Int_Tables_number 1
loop_
_symmetry_equiv_pos_as_xyz
'x,y,z'
loop_
_atom_site_label
_atom_site_type_symbol
_atom_site_fract_x
_atom_site_fract_y
_atom_site_fract_z
Zr1 Zr 0.000 0.000 0.500
Zr2 Zr 0.000 0.500 0.000
Zr3 Zr 0.500 0.000 0.000
Ti1 Ti 0.000 0.000 0.000
Hg1 Hg 0.500 0.500 0.500
# DOS(E_F)   6.695 states/eV/cell
# Raw total energy   -172.86 eV/cell
# Symmetry   No. 221
# DFT formation energy   15.822 kcal/mol of atoms
# Size of the total moment   0.00 μB per formula unit

***

Entry 12:
# AlIr2AuI (SCAN, single point on PBEsol structure)
data_AlIr2AuI
_chemical_formula_sum 'Al1 Ir2 Au1 I1'
_cell_length_a 4.584
_cell_length_b 4.584
_cell_length_c 4.650
_cell_angle_alpha 90.00
_cell_angle_beta 90.00
_cell_angle_gamma 90.00
_symmetry_space_group_name_H-M 'P 1'
_symmetry_Int_Tables_number 1
loop_
_symmetry_equiv_pos_as_xyz
'x,y,z'
loop_
_atom_site_label
_atom_site_type_symbol
_atom_site_fract_x
_atom_site_fract_y
_atom_site_fract_z
Al1 Al 0.000 0.000 0.000
Ir1 Ir 0.000 0.500 0.000
Ir2 Ir 0.500 0.000 0.000
Au1 Au 0.000 0.000 0.500
I1 I 0.500 0.500 0.500
# DOS(E_F)   4.712 states/eV/cell
# Raw total energy   -250.36 eV/cell
# Symmetry   No. 123
# Formation energy without anion corrections   1097 meV per atom
# Size of the total moment   0.00 μB per formula unit